# 1
{
  "formula": "KPaF2",
  "functional": "GGA-PBE",
  "state": "relaxed",
  "n_ef_per_ev_atom": 1.114,
  "formation_energy_uncorrected_ev_per_atom": -1.929,
  "magnetic_moment_mub_per_atom": 0.2482,
  "lattice_angstrom": [[3.370, 0.000, 0.000], [-1.685, 2.919, 0.000], [0.000, 0.000, 25.537]],
  "species": ["K", "K", "K", "Pa", "Pa", "Pa", "F", "F", "F", "F", "F", "F"],
  "fractional_positions": [[0.000, 0.000, 0.000], [0.333, 0.667, 0.667], [0.667, 0.333, 0.333], [0.000, 0.000, 0.500], [0.333, 0.667, 0.167], [0.667, 0.333, 0.833], [0.000, 0.000, 0.100], [0.000, 0.000, 0.900], [0.333, 0.667, 0.567], [0.333, 0.667, 0.766], [0.667, 0.333, 0.234], [0.667, 0.333, 0.433]]
}


# 2
{
  "formula": "KPa2F8",
  "functional": "GGA-PBE",
  "state": "relaxed",
  "n_ef_per_ev_atom": 0.807,
  "formation_energy_uncorrected_ev_per_atom": -3.463,
  "magnetic_moment_mub_per_atom": 0.2727,
  "lattice_angstrom": [[7.161, -2.531, 0.000], [7.161, 2.531, 0.000], [-1.342, 0.000, 5.106]],
  "species": ["K", "Pa", "Pa", "F", "F", "F", "F", "F", "F", "F", "F"],
  "fractional_positions": [[0.000, 0.000, 0.000], [0.297, 0.297, 0.280], [0.703, 0.703, 0.720], [0.085, 0.590, 0.659], [0.187, 0.187, 0.853], [0.410, 0.915, 0.341], [0.439, 0.439, 0.210], [0.561, 0.561, 0.790], [0.590, 0.085, 0.659], [0.813, 0.813, 0.147], [0.915, 0.410, 0.341]]
}


# 3
{
  "formula": "KPa2F8",
  "functional": "GGA-PBE",
  "state": "relaxed",
  "n_ef_per_ev_atom": 0.965,
  "formation_energy_uncorrected_ev_per_atom": -3.547,
  "magnetic_moment_mub_per_atom": 0.2727,
  "lattice_angstrom": [[3.654, -5.593, 0.000], [3.654, 5.593, 0.000], [-0.741, 0.000, 4.465]],
  "species": ["K", "Pa", "Pa", "F", "F", "F", "F", "F", "F", "F", "F"],
  "fractional_positions": [[0.000, 0.000, 0.000], [0.325, 0.676, 0.501], [0.676, 0.325, 0.501], [0.047, 0.334, 0.556], [0.267, 0.738, 0.002], [0.334, 0.047, 0.556], [0.398, 0.398, 0.228], [0.607, 0.607, 0.772], [0.668, 0.956, 0.447], [0.738, 0.267, 0.002], [0.956, 0.668, 0.447]]
}


# 4
{
  "formula": "K6PaF12",
  "functional": "GGA-PBE",
  "state": "relaxed",
  "n_ef_per_ev_atom": 1.126,
  "formation_energy_uncorrected_ev_per_atom": -2.958,
  "magnetic_moment_mub_per_atom": 0.0628,
  "lattice_angstrom": [[5.819, 3.360, 3.641], [-5.819, 3.360, 3.641], [0.000, -6.720, 3.641]],
  "species": ["K", "K", "K", "K", "K", "K", "Pa", "F", "F", "F", "F", "F", "F", "F", "F", "F", "F", "F", "F"],
  "fractional_positions": [[0.101, 0.839, 0.652], [0.161, 0.348, 0.899], [0.348, 0.899, 0.161], [0.652, 0.101, 0.839], [0.839, 0.652, 0.101], [0.899, 0.161, 0.348], [0.500, 0.500, 0.500], [0.083, 0.900, 0.329], [0.100, 0.671, 0.917], [0.229, 0.418, 0.526], [0.329, 0.083, 0.900], [0.418, 0.526, 0.229], [0.474, 0.771, 0.582], [0.526, 0.229, 0.418], [0.582, 0.474, 0.771], [0.671, 0.917, 0.100], [0.771, 0.582, 0.474], [0.900, 0.329, 0.083], [0.917, 0.100, 0.671]]
}


# 5
{
  "formula": "KPaF6",
  "functional": "GGA-PBE",
  "state": "relaxed",
  "n_ef_per_ev_atom": 0.000,
  "formation_energy_uncorrected_ev_per_atom": -3.661,
  "magnetic_moment_mub_per_atom": 0.0000,
  "lattice_angstrom": [[0.000, 4.774, 4.774], [4.774, 0.000, 4.774], [4.774, 4.774, 0.000]],
  "species": ["K", "Pa", "F", "F", "F", "F", "F", "F"],
  "fractional_positions": [[0.000, 0.000, 0.000], [0.500, 0.500, 0.500], [0.279, 0.279, 0.721], [0.279, 0.721, 0.279], [0.279, 0.721, 0.721], [0.721, 0.279, 0.279], [0.721, 0.279, 0.721], [0.721, 0.721, 0.279]]
}


# 6
{
  "formula": "K2PaF8",
  "functional": "GGA-PBE",
  "state": "relaxed",
  "n_ef_per_ev_atom": 0.020,
  "formation_energy_uncorrected_ev_per_atom": -3.108,
  "magnetic_moment_mub_per_atom": 0.0909,
  "lattice_angstrom": [[6.635, -2.052, 0.000], [6.635, 2.052, 0.000], [-1.757, 0.000, 8.738]],
  "species": ["K", "K", "Pa", "F", "F", "F", "F", "F", "F", "F", "F"],
  "fractional_positions": [[0.240, 0.240, 0.232], [0.760, 0.760, 0.768], [0.000, 0.000, 0.500], [0.047, 0.047, 0.289], [0.165, 0.165, 0.567], [0.259, 0.259, 0.955], [0.444, 0.444, 0.378], [0.556, 0.556, 0.622], [0.741, 0.741, 0.045], [0.835, 0.835, 0.433], [0.953, 0.953, 0.711]]
}


# 7
{
  "formula": "KPaF4",
  "functional": "GGA-PBE",
  "state": "relaxed",
  "n_ef_per_ev_atom": 1.145,
  "formation_energy_uncorrected_ev_per_atom": -3.036,
  "magnetic_moment_mub_per_atom": 0.3045,
  "lattice_angstrom": [[5.544, 0.000, 0.000], [0.000, 5.544, 0.000], [0.000, 0.000, 12.655]],
  "species": ["K", "K", "Pa", "Pa", "F", "F", "F", "F", "F", "F", "F", "F"],
  "fractional_positions": [[0.000, 0.000, 0.000], [0.500, 0.500, 0.500], [0.000, 0.500, 0.250], [0.500, 0.000, 0.750], [0.190, 0.258, 0.146], [0.242, 0.690, 0.354], [0.258, 0.810, 0.854], [0.310, 0.242, 0.646], [0.690, 0.758, 0.646], [0.742, 0.190, 0.854], [0.758, 0.310, 0.354], [0.810, 0.742, 0.146]]
}


# 8
{
  "formula": "KPaF5",
  "functional": "GGA-PBE",
  "state": "relaxed",
  "n_ef_per_ev_atom": 0.537,
  "formation_energy_uncorrected_ev_per_atom": -3.479,
  "magnetic_moment_mub_per_atom": 0.1429,
  "lattice_angstrom": [[6.204, -3.769, 0.000], [6.204, 3.769, 0.000], [-4.313, 0.000, 6.407]],
  "species": ["K", "K", "Pa", "Pa", "F", "F", "F", "F", "F", "F", "F", "F", "F", "F"],
  "fractional_positions": [[0.000, 0.000, 0.000], [0.000, 0.000, 0.500], [0.458, 0.542, 0.750], [0.542, 0.458, 0.250], [0.105, 0.655, 0.690], [0.248, 0.752, 0.250], [0.345, 0.895, 0.810], [0.346, 0.405, 0.392], [0.405, 0.346, 0.892], [0.595, 0.654, 0.108], [0.654, 0.595, 0.608], [0.655, 0.105, 0.190], [0.752, 0.248, 0.750], [0.895, 0.345, 0.310]]
}